(1)
Computed, not measured: a geometry-optimized Tm3Si2Ir structure at the PBE level of DFT.

Geometry as POSCAR:
```
Tm3Si2Ir
1.0
4.145 0.000 0.000
0.000 11.083 0.000
0.000 0.000 11.364
Si Ir Tm
8 4 12
Cartesian
3.109 3.445 5.876
1.036 5.514 9.171
1.036 7.637 5.487
3.109 11.055 7.874
3.109 2.096 0.195
3.109 5.569 2.193
1.036 0.028 3.489
1.036 8.986 11.169
3.109 9.593 9.902
1.036 1.489 1.462
3.109 7.031 4.220
1.036 4.052 7.143
1.036 0.639 9.995
3.109 2.206 3.232
1.036 8.876 8.132
3.109 3.335 8.913
1.036 4.185 0.647
3.109 10.444 1.369
1.036 1.356 6.328
3.109 9.726 5.035
1.036 7.748 2.450
3.109 6.180 7.051
1.036 4.903 4.313
3.109 6.897 10.717
```

Summary:
energy relative to the elements, uncorrected	-848	meV/atom
size of the total moment	0.00	μB per cell
D(E_F)	16.5	states/eV per cell

---

(2)
Computed, not measured: a geometry-optimized YFe2Sb structure at the PBE level of DFT.

Geometry as POSCAR:
```
YFe2Sb
1.0
-3.716 0.330 -2.204
0.459 -3.316 -1.269
-2.628 -1.943 4.140
Y Sb Fe
1 1 2
Cartesian
-3.485 -3.779 1.051
-2.400 -1.150 -0.384
-1.270 -1.852 1.864
-2.442 -2.720 3.711
```

Summary:
energy relative to the elements, uncorrected	57	meV/atom
size of the total moment	4.21	μB per cell
D(E_F)	4.3	states/eV per cell

---

Result set for electronic total energy: -152.834, -27.285 eV for the cell shown, one per record in the order listed.